Entry 1:
## LiEuP (GGA-PBE)

Data for a relaxed structure of LiEuP.

Lattice parameters (Å, degrees): 4.3040 7.2505 7.8177 90.00 90.00 90.00
Closest atoms and distances in Å follow each position.
Atoms (fractional coordinates):
P1 0.7500 0.2254 0.6001  4 Li 2.58-2.74
Li1 0.2500 0.6516 0.0690  4 P 2.58-2.74
Eu1 0.7500 0.9870 0.1990  5 P 3.01-3.10, 4 Li 3.06-3.36
Eu2 0.2500 0.5130 0.6990  5 P 3.01-3.10, 4 Li 3.06-3.36
Eu3 0.2500 0.0130 0.8010  5 P 3.01-3.10, 4 Li 3.06-3.36
P2 0.2500 0.7746 0.3999  4 Li 2.58-2.74
Li2 0.7500 0.3484 0.9310  4 P 2.58-2.74
Li3 0.2500 0.1516 0.4310  4 P 2.58-2.74
Eu4 0.7500 0.4870 0.3010  5 P 3.01-3.10, 4 Li 3.06-3.36
P3 0.7500 0.7254 0.8999  4 Li 2.58-2.74
P4 0.2500 0.2746 0.1001  4 Li 2.58-2.74
Li4 0.7500 0.8484 0.5690  4 P 2.58-2.74

Output
- space group = No. 62
- ΔH_f (0 K) (eV per atom) = -1.007
- M_tot (μB/cell) = 28.0

Entry 2:
## LiEu2P (GGA-PBE)

Data for a relaxed structure of LiEu2P.

Lattice parameters (Å, degrees): 4.0950 4.0950 10.6077 78.87 78.87 60.00
Closest atoms and distances in Å follow each position.
Atoms (fractional coordinates):
Eu1 0.8857 0.8857 0.3428  3 P 2.87
P1 0.5000 0.5000 0.5000  6 Eu 2.87
Eu2 0.1143 0.1143 0.6572  3 P 2.87
Li1 0.0000 0.0000 0.0000  2 Eu 3.54

Output
- space group = No. 166
- ΔE to the lowest computed polymorph (eV per formula unit) = 0.37
- ΔH_f (0 K) (eV per atom) = -0.491
- M_tot (μB/cell) = 14.5

Entry 3:
## LiEuP (GGA-PBE)

Data for a relaxed structure of LiEuP.

Lattice parameters (Å, degrees): 4.6876 4.6876 4.6876 60.00 60.00 60.00
Closest atoms and distances in Å follow each position.
Atoms (fractional coordinates):
Li1 0.5000 0.5000 0.5000  4 P 2.87
Eu1 0.0000 0.0000 0.0000  4 P 2.87
P1 0.2500 0.2500 0.2500  4 Li 2.87, 4 Eu 2.87

Output
- space group = No. 216
- ΔH_f (0 K) (eV per atom) = -0.911
- M_tot (μB/cell) = 7.0

Entry 4:
## LiEu2P (GGA-PBE)

Data for a relaxed structure of LiEu2P.

Lattice parameters (Å, degrees): 3.7736 3.7736 7.5824 90.00 90.00 90.00
Closest atoms and distances in Å follow each position.
Atoms (fractional coordinates):
Eu1 0.0000 0.0000 0.2011  1 Eu 3.05, 4 P 3.07
Li1 0.5000 0.5000 0.5000  8 Eu 3.50, 4 Li 3.77, 2 P 3.79
P1 0.5000 0.5000 0.0000  8 Eu 3.07
Eu2 0.0000 0.0000 0.7989  1 Eu 3.05, 4 P 3.07

Output
- space group = No. 123
- ΔE to the lowest computed polymorph (eV per formula unit) = 0.00
- ΔH_f (0 K) (eV per atom) = -0.584
- M_tot (μB/cell) = 14.1

Entry 5:
## LiEuP (GGA-PBE)

Data for a relaxed structure of LiEuP.

Lattice parameters (Å, degrees): 4.0345 4.0345 4.9358 114.12 114.12 90.00
Closest atoms and distances in Å follow each position.
Atoms (fractional coordinates):
P1 0.5983 0.5983 0.1966  1 Li 2.47
Eu1 0.9604 0.9604 0.9207  1 Li 2.67, 1 P 2.92
Li1 0.2913 0.2913 0.5827  1 P 2.47, 1 Eu 2.67

Output
- space group = No. 107
- ΔH_f (0 K) (eV per atom) = -0.641
- M_tot (μB/cell) = 7.0

Entry 6:
## Li2EuPa (GGA-PBE)

Data for a relaxed structure of Li2EuPa.

Lattice parameters (Å, degrees): 3.1698 3.1698 12.4321 82.68 82.68 60.00
Closest atoms and distances in Å follow each position.
Atoms (fractional coordinates):
Eu1 0.5000 0.5000 0.5000  6 Eu 3.17
Li1 0.0841 0.0841 0.7477  1 Pa 3.10, 6 Li 3.17
Li2 0.9159 0.9159 0.2523  1 Pa 3.10, 6 Li 3.17
Pa1 0.0000 0.0000 0.0000  2 Li 3.10, 6 Pa 3.17

Output
- space group = No. 166
- ΔH_f (0 K) (eV per atom) = 0.429
- M_tot (μB/cell) = 8.6

Entry 7:
## LiEuPaRh (GGA-PBE)

Data for a relaxed structure of LiEuPaRh.

Lattice parameters (Å, degrees): 4.9746 4.9746 4.9746 60.00 60.00 60.00
Closest atoms and distances in Å follow each position.
Atoms (fractional coordinates):
Rh1 0.5000 0.5000 0.5000  4 Eu 3.05, 4 Pa 3.05
Eu1 0.7500 0.7500 0.7500  4 Rh 3.05, 4 Li 3.05
Pa1 0.2500 0.2500 0.2500  4 Li 3.05, 4 Rh 3.05
Li1 0.0000 0.0000 0.0000  4 Pa 3.05, 4 Eu 3.05

Output
- space group = No. 216
- ΔH_f (0 K) (eV per atom) = -0.010
- M_tot (μB/cell) = 6.5

Entry 8:
## LiEuPaRu (GGA-PBE)

Data for a relaxed structure of LiEuPaRu.

Lattice parameters (Å, degrees): 4.9368 4.9368 4.9368 60.00 60.00 60.00
Closest atoms and distances in Å follow each position.
Atoms (fractional coordinates):
Pa1 0.0000 0.0000 0.0000  4 Ru 3.02, 4 Li 3.02
Eu1 0.5000 0.5000 0.5000  4 Li 3.02, 4 Ru 3.02
Li1 0.2500 0.2500 0.2500  4 Pa 3.02, 4 Eu 3.02
Ru1 0.7500 0.7500 0.7500  4 Pa 3.02, 4 Eu 3.02

Output
- space group = No. 216
- ΔH_f (0 K) (eV per atom) = 0.123
- M_tot (μB/cell) = 6.7